## Ni5Mo3O12 (PBE+U)

Data for Ni5Mo3O12 after structural relaxation.

abc: 10.3761 10.3761 10.3761
angles: 109.47 109.47 109.47
Closest atoms and distances in Å follow each position.
Fractional coordinates of all 80 atoms:
O1 0.3628 0.4110 0.0825  2 Ni 1.90-2.02
O2 0.6715 0.4518 0.5890  2 Ni 1.90-2.02
O3 0.1372 0.7197 0.5482  2 Ni 1.90-2.02
O4 0.9175 0.8285 0.7803  2 Ni 1.90-2.02
O5 0.9518 0.5890 0.1715  2 Ni 1.90-2.02
O6 0.8285 0.9110 0.0482  2 Ni 1.90-2.02
O7 0.0890 0.1715 0.4518  2 Ni 1.90-2.02
O8 0.0890 0.9175 0.1372  2 Ni 1.90-2.02
O9 0.1715 0.0825 0.7197  2 Ni 1.90-2.02
O10 0.4175 0.2803 0.3285  2 Ni 1.90-2.02
O11 0.5482 0.2197 0.1372  2 Ni 1.90-2.02
O12 0.9518 0.3628 0.2803  2 Ni 1.90-2.02
O13 0.0482 0.6372 0.7197  2 Ni 1.90-2.02
O14 0.0825 0.9110 0.3628  2 Ni 1.90-2.02
O15 0.0825 0.1715 0.2197  2 Ni 1.90-2.02
O16 0.4518 0.6715 0.0890  2 Ni 1.90-2.02
O17 0.8285 0.9175 0.2803  2 Ni 1.90-2.02
O18 0.4110 0.0482 0.3285  2 Ni 1.90-2.02
O19 0.4175 0.1372 0.5890  2 Ni 1.90-2.02
O20 0.1372 0.4175 0.0890  2 Ni 1.90-2.02
O21 0.5825 0.7197 0.6715  2 Ni 1.90-2.02
O22 0.7197 0.1372 0.0482  2 Ni 1.90-2.02
O23 0.6372 0.0482 0.2197  2 Ni 1.90-2.02
O24 0.5482 0.3285 0.9110  2 Ni 1.90-2.02
O25 0.2197 0.6715 0.0825  2 Ni 1.90-2.02
O26 0.6372 0.5890 0.9175  2 Ni 1.90-2.02
O27 0.8628 0.2803 0.4518  2 Ni 1.90-2.02
O28 0.7803 0.3285 0.9175  2 Ni 1.90-2.02
O29 0.1715 0.0890 0.9518  2 Ni 1.90-2.02
O30 0.5890 0.6372 0.4175  2 Ni 1.90-2.02
O31 0.8628 0.5825 0.9110  2 Ni 1.90-2.02
O32 0.4518 0.7803 0.8628  2 Ni 1.90-2.02
O33 0.3628 0.9518 0.7803  2 Ni 1.90-2.02
O34 0.7803 0.4518 0.3628  2 Ni 1.90-2.02
O35 0.9175 0.0890 0.6372  2 Ni 1.90-2.02
O36 0.2803 0.4175 0.8285  2 Ni 1.90-2.02
O37 0.3285 0.7803 0.4175  2 Ni 1.90-2.02
O38 0.4110 0.3628 0.5825  2 Ni 1.90-2.02
O39 0.7197 0.5825 0.1715  2 Ni 1.90-2.02
O40 0.3285 0.5482 0.4110  2 Ni 1.90-2.02
O41 0.6715 0.2197 0.5825  2 Ni 1.90-2.02
O42 0.2197 0.5482 0.6372  2 Ni 1.90-2.02
O43 0.0482 0.4110 0.8285  2 Ni 1.90-2.02
O44 0.2803 0.8628 0.9518  2 Ni 1.90-2.02
O45 0.5825 0.8628 0.4110  2 Ni 1.90-2.02
O46 0.9110 0.8285 0.5482  2 Ni 1.90-2.02
O47 0.5890 0.9518 0.6715  2 Ni 1.90-2.02
O48 0.9110 0.0825 0.8628  2 Ni 1.90-2.02
Ni1 0.5000 0.5000 0.0000  6 O 2.02
Ni2 0.2500 0.8750 0.1250  4 O 1.90
Ni3 0.7500 0.1250 0.8750  4 O 1.90
Ni4 0.8750 0.2500 0.6250  4 O 1.90
Ni5 0.0000 0.5000 0.0000  6 O 2.02
Ni6 0.5000 0.0000 0.0000  6 O 2.02
Ni7 0.1250 0.3750 0.2500  4 O 1.90
Ni8 0.5000 0.5000 0.5000  6 O 2.02
Ni9 0.6250 0.8750 0.2500  4 O 1.90
Ni10 0.6250 0.7500 0.8750  4 O 1.90
Ni11 0.0000 0.5000 0.5000  6 O 2.02
Ni12 0.3750 0.1250 0.7500  4 O 1.90
Ni13 0.1250 0.7500 0.3750  4 O 1.90
Ni14 0.8750 0.6250 0.7500  4 O 1.90
Ni15 0.5000 0.0000 0.5000  6 O 2.02
Ni16 0.3750 0.2500 0.1250  4 O 1.90
Ni17 0.0000 0.0000 0.0000  6 O 2.02
Ni18 0.2500 0.3750 0.6250  4 O 1.90
Ni19 0.7500 0.6250 0.3750  4 O 1.90
Ni20 0.0000 0.0000 0.5000  6 O 2.02
Mo1 0.6250 0.2500 0.3750  8 O 2.20-2.25
Mo2 0.2500 0.1250 0.3750  8 O 2.20-2.25
Mo3 0.2500 0.6250 0.8750  8 O 2.20-2.25
Mo4 0.6250 0.3750 0.7500  8 O 2.20-2.25
Mo5 0.3750 0.7500 0.6250  8 O 2.20-2.25
Mo6 0.7500 0.8750 0.6250  8 O 2.20-2.25
Mo7 0.7500 0.3750 0.1250  8 O 2.20-2.25
Mo8 0.8750 0.1250 0.2500  8 O 2.20-2.25
Mo9 0.1250 0.8750 0.7500  8 O 2.20-2.25
Mo10 0.1250 0.2500 0.8750  8 O 2.20-2.25
Mo11 0.3750 0.6250 0.2500  8 O 2.20-2.25
Mo12 0.8750 0.7500 0.1250  8 O 2.20-2.25

Computed properties:
- symmetry = Ia-3d, No. 230
- calculated total energy (eV/f.u.) = -115.1
- crystal system = cubic